VASP calculation (PBE) on an optimized crystal structure of DyTh2Co9.

Summary:
Crystal system ... trigonal
SG ... R-3m, No. 166
Electronic total energy ... -7.1248 eV per atom
DOS at the Fermi energy ... 1.329 states/eV per atom

```
data_DyTh2Co9
_space_group_name_H-M_alt 'P 1'
_space_group_IT_number 1
_space_group_name_Hall 'P 1'
_cell_length_a 4.958
_cell_length_b 4.958
_cell_length_c 8.849
_cell_angle_alpha 73.73
_cell_angle_beta 73.73
_cell_angle_gamma 60.00
loop_
_atom_site_label
_atom_site_fract_x
_atom_site_fract_y
_atom_site_fract_z
Dy1 0.000 0.000 0.000
Th1 0.863 0.863 0.411
Th2 0.137 0.137 0.589
Co1 0.667 0.667 0.999
Co2 0.333 0.333 0.001
Co3 0.500 0.500 0.500
Co4 0.422 0.422 0.236
Co5 0.919 0.422 0.236
Co6 0.422 0.919 0.236
Co7 0.578 0.578 0.764
Co8 0.578 0.081 0.764
Co9 0.081 0.578 0.764
```

VASP calculation (PBE) on an optimized crystal structure of Ti2MnPd8.

Summary:
Crystal system ... monoclinic
SG ... C2/m, No. 12
Electronic total energy ... -6.5049 eV per atom
DOS at the Fermi energy ... 0.689 states/eV per atom

```
data_Ti2MnPd8
_space_group_name_H-M_alt 'P 1'
_space_group_IT_number 1
_space_group_name_Hall 'P 1'
_cell_length_a 3.980
_cell_length_b 6.339
_cell_length_c 7.286
_cell_angle_alpha 106.72
_cell_angle_beta 105.85
_cell_angle_gamma 90.00
loop_
_atom_site_label
_atom_site_fract_x
_atom_site_fract_y
_atom_site_fract_z
Ti1 0.781 0.337 0.561
Ti2 0.219 0.663 0.439
Mn1 0.500 0.000 0.000
Pd1 0.399 0.543 0.799
Pd2 0.678 0.915 0.357
Pd3 0.853 0.797 0.706
Pd4 0.958 0.270 0.915
Pd5 0.147 0.203 0.294
Pd6 0.322 0.085 0.643
Pd7 0.601 0.457 0.201
Pd8 0.042 0.730 0.085
```

VASP calculation (PBE) on an optimized crystal structure of Na2SiBPb.

Summary:
Formation energy without anion corrections ... 1217 meV/atom
Crystal system ... tetragonal
SG ... P4/mmm, No. 123
Electronic total energy ... -2.4725 eV per atom
DOS at the Fermi energy ... 0.767 states/eV per atom

```
data_Na2SiBPb
_space_group_name_H-M_alt 'P 1'
_space_group_IT_number 1
_space_group_name_Hall 'P 1'
_cell_length_a 6.137
_cell_length_b 4.062
_cell_length_c 6.137
_cell_angle_alpha 90.00
_cell_angle_beta 90.00
_cell_angle_gamma 90.00
loop_
_atom_site_label
_atom_site_fract_x
_atom_site_fract_y
_atom_site_fract_z
Pb1 0.000 0.000 0.000
Na1 0.000 0.000 0.500
Na2 0.500 0.000 0.000
Si1 0.500 0.500 0.500
B1 0.000 0.500 0.000
```

VASP calculation (PBE) on an optimized crystal structure of Nd4BeBr6.

Summary:
Formation energy without anion corrections ... -1212 meV/atom
Crystal system ... tetragonal
SG ... P4_2/nmc, No. 137
Electronic total energy ... -4.1971 eV per atom

```
data_Nd4BeBr6
_space_group_name_H-M_alt 'P 1'
_space_group_IT_number 1
_space_group_name_Hall 'P 1'
_cell_length_a 7.248
_cell_length_b 9.716
_cell_length_c 9.716
_cell_angle_alpha 90.00
_cell_angle_beta 90.00
_cell_angle_gamma 90.00
loop_
_atom_site_label
_atom_site_fract_x
_atom_site_fract_y
_atom_site_fract_z
Nd1 0.332 0.000 0.235
Nd2 0.832 0.735 0.500
Nd3 0.832 0.265 0.500
Nd4 0.332 0.000 0.765
Nd5 0.168 0.500 0.735
Nd6 0.668 0.235 0.000
Nd7 0.668 0.765 0.000
Nd8 0.168 0.500 0.265
Be1 0.000 0.500 0.500
Be2 0.500 0.000 0.000
Br1 0.500 0.708 0.292
Br2 0.500 0.292 0.292
Br3 0.084 0.000 0.500
Br4 0.584 0.000 0.500
Br5 0.500 0.292 0.708
Br6 0.500 0.708 0.708
Br7 0.000 0.792 0.792
Br8 0.000 0.208 0.792
Br9 0.916 0.500 0.000
Br10 0.416 0.500 0.000
Br11 0.000 0.792 0.208
Br12 0.000 0.208 0.208
```

VASP calculation (PBE) on an optimized crystal structure of CaNiSN2.

Summary:
Formation energy without anion corrections ... 1939 meV/atom
Crystal system ... tetragonal
SG ... P4/mmm, No. 123
Electronic total energy ... -3.7728 eV per atom
DOS at the Fermi energy ... 2.261 states/eV per atom
Energy above the most stable polymorph in this dataset ... 1.6397 eV per atom

```
data_CaNiSN2
_space_group_name_H-M_alt 'P 1'
_space_group_IT_number 1
_space_group_name_Hall 'P 1'
_cell_length_a 4.244
_cell_length_b 4.244
_cell_length_c 5.313
_cell_angle_alpha 90.00
_cell_angle_beta 90.00
_cell_angle_gamma 90.00
loop_
_atom_site_label
_atom_site_fract_x
_atom_site_fract_y
_atom_site_fract_z
Ni1 0.500 0.500 0.500
Ca1 0.000 0.000 0.000
S1 0.000 0.000 0.500
N1 0.000 0.500 0.000
N2 0.500 0.000 0.000
```

VASP calculation (PBE) on an optimized crystal structure of Sr7Ge2O2.

Summary:
Formation energy without anion corrections ... -943 meV/atom
Crystal system ... monoclinic
SG ... C2/m, No. 12
Electronic total energy ... -3.7541 eV per atom
DOS at the Fermi energy ... 0.661 states/eV per atom

```
data_Sr7Ge2O2
_space_group_name_H-M_alt 'P 1'
_space_group_IT_number 1
_space_group_name_Hall 'P 1'
_cell_length_a 7.374
_cell_length_b 7.127
_cell_length_c 7.374
_cell_angle_alpha 90.23
_cell_angle_beta 117.21
_cell_angle_gamma 89.77
loop_
_atom_site_label
_atom_site_fract_x
_atom_site_fract_y
_atom_site_fract_z
Sr1 0.001 0.231 0.500
Sr2 0.500 0.769 0.001
Sr3 0.999 0.769 0.500
Sr4 0.500 0.231 0.999
Sr5 0.000 0.000 0.000
Sr6 0.499 0.730 0.501
Sr7 0.501 0.270 0.499
Ge1 0.840 0.500 0.840
Ge2 0.160 0.500 0.160
O1 0.791 0.001 0.209
O2 0.209 0.999 0.791
```

VASP calculation (PBE) on an optimized crystal structure of CuH2Pd2.

Summary:
Crystal system ... tetragonal
SG ... P4/mbm, No. 127
Electronic total energy ... -4.2216 eV per atom
DOS at the Fermi energy ... 0.182 states/eV per atom
Energy above the most stable polymorph in this dataset ... 0.0878 eV per atom

```
data_CuH2Pd2
_space_group_name_H-M_alt 'P 1'
_space_group_IT_number 1
_space_group_name_Hall 'P 1'
_cell_length_a 5.907
_cell_length_b 5.907
_cell_length_c 2.903
_cell_angle_alpha 90.00
_cell_angle_beta 90.00
_cell_angle_gamma 90.00
loop_
_atom_site_label
_atom_site_fract_x
_atom_site_fract_y
_atom_site_fract_z
H1 0.297 0.797 0.000
H2 0.797 0.703 0.000
H3 0.703 0.203 0.000
H4 0.203 0.297 0.000
Cu1 0.000 0.000 0.000
Cu2 0.500 0.500 0.000
Pd1 0.171 0.671 0.500
Pd2 0.671 0.829 0.500
Pd3 0.829 0.329 0.500
Pd4 0.329 0.171 0.500
```

VASP calculation (PBE) on an optimized crystal structure of PuMn2Tl3S6.

Summary:
Formation energy without anion corrections ... -704 meV/atom
Crystal system ... monoclinic
SG ... C2/m, No. 12
Electronic total energy ... -6.0817 eV per atom
DOS at the Fermi energy ... 0.601 states/eV per atom

```
data_PuMn2Tl3S6
_space_group_name_H-M_alt 'P 1'
_space_group_IT_number 1
_space_group_name_Hall 'P 1'
_cell_length_a 6.517
_cell_length_b 6.517
_cell_length_c 7.814
_cell_angle_alpha 98.03
_cell_angle_beta 98.03
_cell_angle_gamma 119.80
loop_
_atom_site_label
_atom_site_fract_x
_atom_site_fract_y
_atom_site_fract_z
Pu1 0.000 0.000 0.000
Mn1 0.333 0.667 0.000
Mn2 0.667 0.333 0.000
Tl1 0.162 0.838 0.500
Tl2 0.838 0.162 0.500
Tl3 0.500 0.500 0.500
S1 0.939 0.584 0.814
S2 0.705 0.705 0.182
S3 0.061 0.416 0.186
S4 0.584 0.939 0.814
S5 0.295 0.295 0.818
S6 0.416 0.061 0.186
```

VASP calculation (PBE) on an optimized crystal structure of TcBiBr2.

Summary:
Formation energy without anion corrections ... 230 meV/atom
Crystal system ... tetragonal
SG ... I-42d, No. 122
Electronic total energy ... -4.1679 eV per atom
DOS at the Fermi energy ... 0.117 states/eV per atom
Energy above the most stable polymorph in this dataset ... 0.0000 eV per atom

```
data_TcBiBr2
_space_group_name_H-M_alt 'P 1'
_space_group_IT_number 1
_space_group_name_Hall 'P 1'
_cell_length_a 9.157
_cell_length_b 9.157
_cell_length_c 6.997
_cell_angle_alpha 49.13
_cell_angle_beta 49.13
_cell_angle_gamma 90.00
loop_
_atom_site_label
_atom_site_fract_x
_atom_site_fract_y
_atom_site_fract_z
Bi1 0.000 0.000 0.000
Bi2 0.750 0.250 0.500
Br1 0.493 0.125 0.250
Br2 0.257 0.625 0.250
Br3 0.375 0.507 0.750
Br4 0.875 0.743 0.750
Tc1 0.500 0.500 0.000
Tc2 0.250 0.750 0.500
```

VASP calculation (PBE) on an optimized crystal structure of ScTaMo2.

Summary:
Crystal system ... monoclinic
SG ... Pm, No. 6
Electronic total energy ... -9.8962 eV per atom
DOS at the Fermi energy ... 1.012 states/eV per atom
Energy above the most stable polymorph in this dataset ... 0.0545 eV per atom

```
data_ScTaMo2
_space_group_name_H-M_alt 'P 1'
_space_group_IT_number 1
_space_group_name_Hall 'P 1'
_cell_length_a 4.620
_cell_length_b 2.838
_cell_length_c 5.447
_cell_angle_alpha 78.55
_cell_angle_beta 90.00
_cell_angle_gamma 90.00
loop_
_atom_site_label
_atom_site_fract_x
_atom_site_fract_y
_atom_site_fract_z
Mo1 0.000 0.020 0.005
Mo2 0.500 0.222 0.241
Sc1 0.000 0.480 0.495
Ta1 0.500 0.778 0.759
```

VASP calculation (PBE) on an optimized crystal structure of Na6AgI8.

Summary:
Formation energy without anion corrections ... -1000 meV/atom
Crystal system ... cubic
SG ... Fm-3m, No. 225
Electronic total energy ... -2.5449 eV per atom
DOS at the Fermi energy ... 0.712 states/eV per atom

```
data_Na6AgI8
_space_group_name_H-M_alt 'P 1'
_space_group_IT_number 1
_space_group_name_Hall 'P 1'
_cell_length_a 9.147
_cell_length_b 9.147
_cell_length_c 9.147
_cell_angle_alpha 60.00
_cell_angle_beta 60.00
_cell_angle_gamma 60.00
loop_
_atom_site_label
_atom_site_fract_x
_atom_site_fract_y
_atom_site_fract_z
Na1 0.000 0.500 0.500
Na2 0.500 0.000 0.000
Na3 0.500 0.500 0.000
Na4 0.000 0.000 0.500
Na5 0.000 0.500 0.000
Na6 0.500 0.000 0.500
Ag1 0.000 0.000 0.000
I1 0.750 0.750 0.750
I2 0.250 0.250 0.250
I3 0.766 0.234 0.234
I4 0.234 0.766 0.766
I5 0.234 0.234 0.766
I6 0.766 0.766 0.234
I7 0.766 0.234 0.766
I8 0.234 0.766 0.234
```

VASP calculation (PBE) on an optimized crystal structure of Al3SiSe.

Summary:
Formation energy without anion corrections ... 377 meV/atom
Crystal system ... cubic
SG ... Pm-3m, No. 221
Electronic total energy ... -3.6499 eV per atom
DOS at the Fermi energy ... 0.534 states/eV per atom
Energy above the most stable polymorph in this dataset ... 0.0000 eV per atom

```
data_Al3SiSe
_space_group_name_H-M_alt 'P 1'
_space_group_IT_number 1
_space_group_name_Hall 'P 1'
_cell_length_a 4.822
_cell_length_b 4.822
_cell_length_c 4.822
_cell_angle_alpha 90.00
_cell_angle_beta 90.00
_cell_angle_gamma 90.00
loop_
_atom_site_label
_atom_site_fract_x
_atom_site_fract_y
_atom_site_fract_z
Si1 0.000 0.000 0.000
Al1 0.000 0.500 0.000
Al2 0.000 0.000 0.500
Al3 0.500 0.000 0.000
Se1 0.500 0.500 0.500
```